First-principles (PBE) data for crystalline TbPm2SmAs4 at its relaxed geometry, as listed in Alexandria.

```
data_TbPm2SmAs4
_chemical_formula_sum 'Tb1 Pm2 Sm1 As4'
_symmetry_space_group_name_H-M 'P 1'
_symmetry_Int_Tables_number 1
_cell_length_a 4.2106
_cell_length_b 7.2861
_cell_length_c 7.2872
_cell_angle_alpha 70.53
_cell_angle_beta 90.00
_cell_angle_gamma 90.00
loop_
_symmetry_equiv_pos_as_xyz
'x,y,z'
loop_
_atom_site_label
_atom_site_fract_x
_atom_site_fract_y
_atom_site_fract_z
Sm1 0.5000 0.5000 0.0000
As1 0.0000 0.7470 0.7489
As2 0.5000 0.7456 0.2535
As3 0.0000 0.2530 0.2511
As4 0.5000 0.2544 0.7465
Pm1 0.0000 0.0000 0.0000
Pm2 0.5000 0.0000 0.5000
Tb1 0.0000 0.5000 0.5000
```

Properties
calculated density = 7.082 Mg/m³
space group = P2/m, No. 10
raw total energy = -6.21 eV/atom
calculated formation energy = -12.234 eV/f.u.
total magnetic moment = 0.00 μB/cell